# 1
## LiV4P3O12 (SCAN)

Data for LiV4P3O12 at its PBEsol-relaxed geometry.

a = 6.667 Å, b = 6.667 Å, c = 10.460 Å
α = 108.58°, β = 108.58°, γ = 90.00°
Site moments in Bohr magnetons follow the coordinates.
Fractional coordinates of all 40 atoms:
1 V 0.773 0.773 0.546  2.70
2 V 0.227 0.227 0.454  2.70
3 V 0.477 0.977 0.954  2.70
4 V 0.879 0.375 0.250  2.66
5 V 0.023 0.523 0.046  2.70
6 V 0.625 0.629 0.750  2.66
7 V 0.125 0.121 0.750  2.66
8 V 0.371 0.875 0.250  2.66
9 Li 0.500 0.500 0.000  0.00
10 Li 0.750 0.250 0.500  0.00
11 P 0.625 0.228 0.750  0.02
12 P 0.000 0.000 0.000  0.03
13 P 0.250 0.750 0.500  0.03
14 P 0.772 0.875 0.250  0.02
15 P 0.125 0.522 0.750  0.02
16 P 0.478 0.375 0.250  0.02
17 O 0.094 0.310 0.619  0.01
18 O 0.996 0.236 0.087  0.01
19 O 0.454 0.128 0.789  0.01
20 O 0.101 0.841 0.587  0.01
21 O 0.378 0.204 0.289  0.01
22 O 0.690 0.475 0.381  0.01
23 O 0.254 0.899 0.413  0.01
24 O 0.486 0.746 0.587  0.01
25 O 0.525 0.308 0.619  0.01
26 O 0.091 0.851 0.087  0.01
27 O 0.558 0.275 0.119  0.01
28 O 0.334 0.660 0.789  0.01
29 O 0.560 0.844 0.119  0.01
30 O 0.340 0.546 0.211  0.01
31 O 0.796 0.090 0.711  0.01
32 O 0.916 0.622 0.711  0.01
33 O 0.872 0.666 0.211  0.01
34 O 0.910 0.084 0.289  0.01
35 O 0.764 0.909 0.913  0.01
36 O 0.725 0.440 0.881  0.01
37 O 0.149 0.004 0.913  0.01
38 O 0.159 0.514 0.413  0.01
39 O 0.692 0.906 0.381  0.01
40 O 0.156 0.442 0.881  0.01

Results
E_form (uncorrected) in kJ/mol of formula units: -4773.6
Energy above the most stable polymorph in this dataset in meV per atom: 0.0

---

# 2
## Ba2Te2I (SCAN)

Data for Ba2Te2I at its PBEsol-relaxed geometry.

a = 6.377 Å, b = 7.058 Å, c = 6.377 Å
α = 63.15°, β = 90.00°, γ = 116.85°
Fractional coordinates of all 5 atoms:
1 Te 0.354 0.709 0.646
2 Te 0.646 0.291 0.354
3 I 0.000 0.000 0.000
4 Ba 0.750 0.500 0.750
5 Ba 0.250 0.500 0.250

Results
E_form (uncorrected) in kJ/mol of formula units: -719.9

---

# 3
## HfGeCl3 (SCAN)

Data for HfGeCl3 at its PBEsol-relaxed geometry.

a = 4.915 Å, b = 4.915 Å, c = 4.915 Å
α = 90.00°, β = 90.00°, γ = 90.00°
Site moments in Bohr magnetons follow the coordinates.
Fractional coordinates of all 5 atoms:
1 Cl 0.500 0.000 0.000  0.03
2 Cl 0.000 0.000 0.500  0.03
3 Cl 0.000 0.500 0.000  0.03
4 Ge 0.500 0.500 0.500  0.72
5 Hf 0.000 0.000 0.000  0.11

Results
E_form (uncorrected) in kJ/mol of formula units: -272.0

---

# 4
## CaHg3I (SCAN)

Data for CaHg3I at its PBEsol-relaxed geometry.

a = 5.753 Å, b = 5.753 Å, c = 5.753 Å
α = 90.00°, β = 90.00°, γ = 90.00°
Fractional coordinates of all 5 atoms:
1 I 0.000 0.000 0.000
2 Hg 0.000 0.000 0.500
3 Hg 0.000 0.500 0.000
4 Hg 0.500 0.000 0.000
5 Ca 0.500 0.500 0.500

Results
E_form (uncorrected) in kJ/mol of formula units: 199.7

---

# 5
## CoOsRh2 (SCAN)

Data for CoOsRh2 at its PBEsol-relaxed geometry.

a = 3.692 Å, b = 3.692 Å, c = 4.570 Å
α = 113.82°, β = 113.82°, γ = 90.00°
Site moments in Bohr magnetons follow the coordinates.
Fractional coordinates of all 4 atoms:
1 Rh 0.750 0.250 0.500  0.15
2 Rh 0.250 0.750 0.500  0.15
3 Os 0.500 0.500 0.000  0.00
4 Co 0.000 0.000 0.000  1.73

Results
Energy of formation from the pure elements in meV per atom: 106
Energy above the most stable polymorph in this dataset in meV per atom: 47.9

---

# 6
## ScCoP2Cl (SCAN)

Data for ScCoP2Cl at its PBEsol-relaxed geometry.

a = 4.719 Å, b = 4.913 Å, c = 4.913 Å
α = 90.00°, β = 90.00°, γ = 90.00°
Site moments in Bohr magnetons follow the coordinates.
Fractional coordinates of all 5 atoms:
1 P 0.000 0.000 0.500  0.10
2 P 0.000 0.500 0.000  0.10
3 Sc 0.000 0.000 0.000  0.01
4 Co 0.500 0.500 0.500  2.55
5 Cl 0.500 0.000 0.000  0.06

Results
E_form (uncorrected) in kJ/mol of formula units: 175.4

---

# 7
## Li2Ni3WO8 (SCAN)

Data for Li2Ni3WO8 at its PBEsol-relaxed geometry.

a = 8.099 Å, b = 8.300 Å, c = 8.300 Å
α = 90.00°, β = 90.00°, γ = 90.00°
Site moments in Bohr magnetons follow the coordinates.
Fractional coordinates of all 56 atoms:
1 O 0.755 0.125 0.115  0.09
2 O 0.985 0.123 0.864  0.07
3 O 0.255 0.875 0.885  0.09
4 O 0.265 0.623 0.636  0.07
5 O 0.485 0.877 0.136  0.07
6 O 0.765 0.377 0.364  0.07
7 O 0.975 0.891 0.642  0.05
8 O 0.475 0.109 0.358  0.05
9 O 0.988 0.386 0.145  0.02
10 O 0.775 0.609 0.142  0.05
11 O 0.495 0.625 0.385  0.09
12 O 0.005 0.615 0.375  0.09
13 O 0.745 0.885 0.875  0.09
14 O 0.525 0.358 0.109  0.05
15 O 0.488 0.614 0.855  0.02
16 O 0.725 0.858 0.391  0.05
17 O 0.025 0.642 0.891  0.05
18 O 0.262 0.886 0.355  0.02
19 O 0.735 0.636 0.623  0.07
20 O 0.275 0.391 0.858  0.05
21 O 0.245 0.115 0.125  0.09
22 O 0.512 0.855 0.614  0.02
23 O 0.515 0.136 0.877  0.07
24 O 0.738 0.355 0.886  0.02
25 O 0.505 0.385 0.625  0.09
26 O 0.015 0.864 0.123  0.07
27 O 0.995 0.375 0.615  0.09
28 O 0.012 0.145 0.386  0.02
29 O 0.238 0.645 0.114  0.02
30 O 0.235 0.364 0.377  0.07
31 O 0.762 0.114 0.645  0.02
32 O 0.225 0.142 0.609  0.05
33 W 0.250 0.889 0.111  0.04
34 W 0.500 0.611 0.611  0.04
35 W 0.750 0.111 0.889  0.04
36 W 0.000 0.389 0.389  0.04
37 Ni 0.750 0.627 0.373  1.53
38 Ni 0.503 0.375 0.875  0.94
39 Ni 0.253 0.625 0.875  0.94
40 Ni 0.747 0.875 0.625  0.94
41 Ni 0.997 0.125 0.625  0.94
42 Ni 0.003 0.625 0.125  0.94
43 Ni 0.753 0.375 0.125  0.94
44 Ni 0.250 0.373 0.627  1.53
45 Ni 0.247 0.125 0.375  0.94
46 Ni 0.500 0.127 0.127  1.53
47 Ni 0.000 0.873 0.873  1.53
48 Ni 0.497 0.875 0.375  0.94
49 Li 0.874 0.991 0.268  0.00
50 Li 0.124 0.768 0.509  0.00
51 Li 0.376 0.491 0.232  0.00
52 Li 0.126 0.268 0.991  0.00
53 Li 0.374 0.009 0.732  0.00
54 Li 0.626 0.732 0.009  0.00
55 Li 0.624 0.232 0.491  0.00
56 Li 0.876 0.509 0.768  0.00

Results
E_form (uncorrected) in kJ/mol of formula units: -2343.9
Energy above the most stable polymorph in this dataset in meV per atom: 43.0

---

# 8
## Li3MgN (SCAN)

Data for Li3MgN at its PBEsol-relaxed geometry.

a = 4.053 Å, b = 4.053 Å, c = 4.053 Å
α = 90.00°, β = 90.00°, γ = 90.00°
Fractional coordinates of all 5 atoms:
1 Mg 0.500 0.500 0.500
2 Li 0.000 0.500 0.000
3 Li 0.000 0.000 0.500
4 Li 0.500 0.000 0.000
5 N 0.000 0.000 0.000

Results
E_form (uncorrected) in kJ/mol of formula units: -55.7

---

# 9
## KCa2 (SCAN)

Data for KCa2 at its PBEsol-relaxed geometry.

a = 3.968 Å, b = 3.968 Å, c = 10.341 Å
α = 90.00°, β = 90.00°, γ = 120.00°
Fractional coordinates of all 3 atoms:
1 K 0.000 0.000 0.000
2 Ca 0.333 0.667 0.352
3 Ca 0.667 0.333 0.648

Results
Energy of formation from the pure elements in meV per atom: 111

---

# 10
## CuBrO2 (SCAN)

Data for CuBrO2 at its PBEsol-relaxed geometry.

a = 3.634 Å, b = 6.455 Å, c = 6.455 Å
α = 114.22°, β = 90.00°, γ = 90.00°
Fractional coordinates of all 8 atoms:
1 Cu 0.500 0.735 0.735
2 Cu 0.000 0.265 0.265
3 O 0.714 0.001 0.182
4 O 0.286 0.182 0.001
5 O 0.214 0.999 0.818
6 O 0.786 0.818 0.999
7 Br 0.250 0.635 0.365
8 Br 0.750 0.365 0.635

Results
E_form (uncorrected) in kJ/mol of formula units: -66.9

---

Q: Which calculated total energy values were calculated for the entries above? A: -11.39 -39.56 -21.70 -49.77 -39.08 -11.70 -14.08 -4.40 -9.11 -11.95, in eV per atom.
Q: Which total moment values were calculated for the entries above? A: 12.00 0.00 2.01 0.00 1.95 3.15 4.00 0.00 0.33 0.00, in μB/f.u..
Q: Which ρ values were calculated for the entries above? A: 3.966 4.939 4.998 6.706 14.781 2.935 5.975 1.475 1.405 4.219, in g cm⁻³.